Compound: LaSc3Pb
Source: Alexandria
Functional: PBE
Structure: optimized geometry

CIF file:
```
data_LaSc3Pb
_chemical_formula_sum 'La1 Sc3 Pb1'
_cell_length_a 5.508
_cell_length_b 5.508
_cell_length_c 5.508
_cell_angle_alpha 90.00
_cell_angle_beta 90.00
_cell_angle_gamma 90.00
_space_group_name_H-M_alt 'P m -3 m'
_space_group_IT_number 221
_space_group_name_Hall '-P 4 2 3'
loop_
_atom_site_label
_atom_site_type_symbol
_atom_site_fract_x
_atom_site_fract_y
_atom_site_fract_z
La1 La 0.000 0.000 0.000
Sc1 Sc 0.000 0.500 0.500
Pb1 Pb 0.500 0.500 0.500
```

Its final energy is -25.87 eV per formula unit. The formation energy comes out at 0.35 eV per atom. The value obtained for the distance to the lowest polymorph of the same formula is 0 meV/atom.


Compound: ScGaRe3
Source: Alexandria
Functional: PBE
Structure: optimized geometry

CIF file:
```
data_ScGaRe3
_chemical_formula_sum 'Sc1 Ga1 Re3'
_cell_length_a 4.562
_cell_length_b 4.562
_cell_length_c 4.562
_cell_angle_alpha 90.00
_cell_angle_beta 90.00
_cell_angle_gamma 90.00
_space_group_name_H-M_alt 'P m -3 m'
_space_group_IT_number 221
_space_group_name_Hall '-P 4 2 3'
loop_
_atom_site_label
_atom_site_type_symbol
_atom_site_fract_x
_atom_site_fract_y
_atom_site_fract_z
Sc1 Sc 0.000 0.000 0.000
Ga1 Ga 0.500 0.500 0.500
Re1 Re 0.000 0.500 0.500
```

Its final energy is -39.69 eV per formula unit. The formation energy comes out at 1.40 eV per atom. The value obtained for the distance to the lowest polymorph of the same formula is 0 meV/atom.


Compound: HgTe3
Source: Alexandria
Functional: PBE
Structure: optimized geometry

CIF file:
```
data_HgTe3
_chemical_formula_sum 'Hg4 Te12'
_cell_length_a 8.5777
_cell_length_b 8.5777
_cell_length_c 7.9249
_cell_angle_alpha 90.00
_cell_angle_beta 90.00
_cell_angle_gamma 120.00
_space_group_name_H-M_alt 'P 63/m m c'
_space_group_IT_number 194
_space_group_name_Hall '-P 6c 2c'
loop_
_atom_site_label
_atom_site_type_symbol
_atom_site_fract_x
_atom_site_fract_y
_atom_site_fract_z
Hg1 Hg 0.0000 0.0000 0.0000
Hg2 Hg 0.3333 0.6667 0.2500
Te1 Te 0.0000 0.5000 0.0000
Te2 Te 0.1739 0.3477 0.7500
```

Its final energy is -9.45 eV per formula unit.


Compound: TbHo2TmSc4
Source: Alexandria
Functional: PBE
Structure: optimized geometry

CIF file:
```
data_TbHo2TmSc4
_chemical_formula_sum 'Tb1 Ho2 Tm1 Sc4'
_cell_length_a 4.855
_cell_length_b 4.855
_cell_length_c 9.357
_cell_angle_alpha 90.00
_cell_angle_beta 90.00
_cell_angle_gamma 90.00
_space_group_name_H-M_alt 'P 4/m m m'
_space_group_IT_number 123
_space_group_name_Hall '-P 4 2'
loop_
_atom_site_label
_atom_site_type_symbol
_atom_site_fract_x
_atom_site_fract_y
_atom_site_fract_z
Tb1 Tb 0.000 0.000 0.000
Ho1 Ho 0.000 0.000 0.500
Ho2 Ho 0.500 0.500 0.000
Tm1 Tm 0.500 0.500 0.500
Sc1 Sc 0.000 0.500 0.251
```

Its final energy is -43.16 eV per formula unit. The formation energy comes out at 0.05 eV per atom.


Compound: PrSm12Tm2
Source: Alexandria
Functional: PBE
Structure: optimized geometry

CIF file:
```
data_PrSm12Tm2
_chemical_formula_sum 'Pr4 Sm48 Tm8'
_cell_length_a 7.136
_cell_length_b 11.494
_cell_length_c 24.883
_cell_angle_alpha 90.00
_cell_angle_beta 90.00
_cell_angle_gamma 90.00
_space_group_name_H-M_alt 'C m m e'
_space_group_IT_number 67
_space_group_name_Hall '-C 2a 2'
loop_
_atom_site_label
_atom_site_type_symbol
_atom_site_fract_x
_atom_site_fract_y
_atom_site_fract_z
Pr1 Pr 0.000 0.250 0.002
Sm1 Sm 0.000 0.003 0.923
Sm2 Sm 0.000 0.023 0.440
Sm3 Sm 0.232 0.250 0.587
Sm4 Sm 0.248 0.250 0.132
Sm5 Sm 0.250 0.000 0.201
Sm6 Sm 0.250 0.000 0.326
Tm1 Tm 0.000 0.250 0.271
Tm2 Tm 0.000 0.250 0.733
```

Its final energy is -67.93 eV per formula unit. The formation energy comes out at 0.16 eV per atom.


Compound: Pm6YHoTm2
Source: Alexandria
Functional: PBE
Structure: optimized geometry

CIF file:
```
data_Pm6YHoTm2
_chemical_formula_sum 'Pm24 Y4 Ho4 Tm8'
_cell_length_a 9.192
_cell_length_b 15.258
_cell_length_c 9.599
_cell_angle_alpha 90.00
_cell_angle_beta 97.23
_cell_angle_gamma 90.00
_space_group_name_H-M_alt 'C 1 2/c 1'
_space_group_IT_number 15
loop_
_space_group_symop_operation_xyz
'x,y,z'
'-x,-y,-z'
'-x,y,-z+1/2'
'x,-y,z+1/2'
'x+1/2,y+1/2,z'
'-x+1/2,-y+1/2,-z'
'-x+1/2,y+1/2,-z+1/2'
'x+1/2,-y+1/2,z+1/2'
loop_
_atom_site_label
_atom_site_type_symbol
_atom_site_fract_x
_atom_site_fract_y
_atom_site_fract_z
Pm1 Pm 0.060 0.179 0.446
Pm2 Pm 0.100 0.392 0.619
Pm3 Pm 0.212 0.224 0.814
Y1 Y 0.000 0.027 0.750
Ho1 Ho 0.000 0.411 0.250
Tm1 Tm 0.249 0.449 0.954
```

Its final energy is -47.34 eV per formula unit. The formation energy comes out at 0.12 eV per atom.


Compound: AcH2O3
Source: Alexandria
Functional: PBE
Structure: optimized geometry

CIF file:
```
data_AcH2O3
_chemical_formula_sum 'Ac2 H4 O6'
_cell_length_a 3.917
_cell_length_b 7.328
_cell_length_c 5.703
_cell_angle_alpha 90.00
_cell_angle_beta 90.00
_cell_angle_gamma 90.00
_space_group_name_H-M_alt 'P m c 21'
_space_group_IT_number 26
loop_
_space_group_symop_operation_xyz
'x,y,z'
'-x,-y,z+1/2'
'-x,y,z'
'x,-y,z+1/2'
loop_
_atom_site_label
_atom_site_type_symbol
_atom_site_fract_x
_atom_site_fract_y
_atom_site_fract_z
Ac1 Ac 0.000 0.229 0.000
H1 H 0.000 0.390 0.536
H2 H 0.500 0.164 0.471
O1 O 0.000 0.462 0.680
O2 O 0.500 0.127 0.754
O3 O 0.500 0.184 0.294
```

Its final energy is -35.82 eV per formula unit.


Compound: K2CdPd2
Source: Alexandria
Functional: PBE
Structure: optimized geometry

CIF file:
```
data_K2CdPd2
_chemical_formula_sum 'K4 Cd2 Pd4'
_cell_length_a 7.072
_cell_length_b 7.072
_cell_length_c 5.285
_cell_angle_alpha 90.00
_cell_angle_beta 90.00
_cell_angle_gamma 90.00
_space_group_name_H-M_alt 'P 4/m b m'
_space_group_IT_number 127
_space_group_name_Hall '-P 4 2ab'
loop_
_atom_site_label
_atom_site_type_symbol
_atom_site_fract_x
_atom_site_fract_y
_atom_site_fract_z
K1 K 0.173 0.327 0.000
Cd1 Cd 0.000 0.000 0.500
Pd1 Pd 0.134 0.634 0.500
```

Its final energy is -13.84 eV per formula unit. The formation energy comes out at -0.07 eV per atom. The value obtained for the distance to the lowest polymorph of the same formula is 0 meV/atom.


Compound: HoPuW
Source: Alexandria
Functional: PBE
Structure: optimized geometry

CIF file:
```
data_HoPuW
_chemical_formula_sum 'Ho6 Pu6 W6'
_cell_length_a 3.4014
_cell_length_b 3.4014
_cell_length_c 39.4602
_cell_angle_alpha 90.00
_cell_angle_beta 90.00
_cell_angle_gamma 120.00
_space_group_name_H-M_alt 'R -3 m'
_space_group_IT_number 166
_space_group_name_Hall '-R 3 2"'
loop_
_atom_site_label
_atom_site_type_symbol
_atom_site_fract_x
_atom_site_fract_y
_atom_site_fract_z
Ho1 Ho 0.0000 0.0000 0.1258
Pu1 Pu 0.0000 0.0000 0.3162
W1 W 0.0000 0.0000 0.4017
```

Its final energy is -30.23 eV per formula unit. The formation energy comes out at 0.55 eV per atom.


Compound: ZrSn3Pd6
Source: Alexandria
Functional: PBE
Structure: optimized geometry

CIF file:
```
data_ZrSn3Pd6
_chemical_formula_sum 'Zr2 Sn6 Pd12'
_cell_length_a 9.205
_cell_length_b 3.792
_cell_length_c 11.172
_cell_angle_alpha 90.00
_cell_angle_beta 103.24
_cell_angle_gamma 90.00
_space_group_name_H-M_alt 'P 1 21/m 1'
_space_group_IT_number 11
loop_
_space_group_symop_operation_xyz
'x,y,z'
'-x,-y,-z'
'-x,y+1/2,-z'
'x,-y+1/2,z'
loop_
_atom_site_label
_atom_site_type_symbol
_atom_site_fract_x
_atom_site_fract_y
_atom_site_fract_z
Zr1 Zr 0.026 0.250 0.228
Sn1 Sn 0.124 0.250 0.591
Sn2 Sn 0.288 0.750 0.931
Sn3 Sn 0.388 0.250 0.315
Pd1 Pd 0.094 0.250 0.969
Pd2 Pd 0.181 0.750 0.414
Pd3 Pd 0.217 0.750 0.165
Pd4 Pd 0.309 0.750 0.701
Pd5 Pd 0.419 0.250 0.557
Pd6 Pd 0.429 0.250 0.083
```

Its final energy is -56.79 eV per formula unit. The formation energy comes out at -0.51 eV per atom.